[1]
The following is a PBE calculation of an optimized crystal structure of CoH6N2Cl2, from Alexandria via LeMat-Bulk.

Results
The calculated volume comes out at 10.58 Å³ per atom. The calculation puts the total magnetization at 0.0918 μB/atom. The electronic total energy is -106.0 eV/cell. For the density of states at the Fermi level, the calculation gives 0.89 states/eV/f.u. Its space group is Imma.

```
CoH6N2Cl2
1.0
-3.664 3.979 3.991
3.664 -3.979 3.991
3.664 3.979 -3.991
Co H N Cl
2 12 4 4
direct
0.490 0.240 0.250 Co
0.510 0.760 0.750 Co
0.098 0.650 0.448 H
0.128 0.059 0.847 H
0.128 0.281 0.070 H
0.289 0.719 0.347 H
0.289 0.941 0.570 H
0.297 0.350 0.948 H
0.703 0.650 0.052 H
0.711 0.059 0.430 H
0.711 0.281 0.653 H
0.872 0.719 0.930 H
0.872 0.941 0.153 H
0.902 0.350 0.552 H
0.238 0.234 0.003 N
0.269 0.766 0.503 N
0.731 0.234 0.497 N
0.762 0.766 0.997 N
0.295 0.302 0.507 Cl
0.295 0.788 0.993 Cl
0.705 0.212 0.007 Cl
0.705 0.698 0.493 Cl
```

---

[2]
The following is a PBE calculation of an optimized crystal structure of CoH6N2Cl2, from Alexandria via LeMat-Bulk.

Results
The calculated volume comes out at 10.77 Å³ per atom. The calculation puts the total magnetization at 0.0922 μB/atom. The electronic total energy is -53.0 eV/cell. For the density of states at the Fermi level, the calculation gives 2.19 states/eV/f.u. Its space group is C2/m.

```
CoH6N2Cl2
1.0
4.025 -4.010 0.000
4.025 4.010 0.000
-0.371 0.000 3.668
Co H N Cl
1 6 2 2
direct
0.000 0.000 0.000 Co
0.192 0.399 0.182 H
0.290 0.290 0.797 H
0.399 0.192 0.182 H
0.601 0.808 0.818 H
0.710 0.710 0.203 H
0.808 0.601 0.818 H
0.245 0.245 0.047 N
0.755 0.755 0.953 N
0.203 0.797 0.500 Cl
0.797 0.203 0.500 Cl
```